(1)
The following is a GGA-PBE calculation of crystalline PuCdP2 at its relaxed geometry, from Alexandria via LeMat-Bulk.

a = 3.6528 Å, b = 4.5389 Å, c = 4.5389 Å
α = 90.00°, β = 90.00°, γ = 90.00°
Sites, in units of the cell vectors:
P1 0.0000 0.0000 0.5000
P2 0.0000 0.5000 0.0000
Cd1 0.5000 0.0000 0.0000
Pu1 0.5000 0.5000 0.5000

Results
SG: P4/mmm, No. 123



(2)
The following is a GGA-PBE calculation of crystalline PmSmBi at its relaxed geometry, from Alexandria via LeMat-Bulk.

a = 4.0086 Å, b = 5.3336 Å, c = 5.3336 Å
α = 120.00°, β = 90.00°, γ = 90.00°
Sites, in units of the cell vectors:
Bi1 0.3409 0.6667 0.3333
Sm1 0.5954 0.3333 0.6667
Pm1 0.0637 0.0000 0.0000

Results
SG: P3m1, No. 156



(3)
The following is a GGA-PBE calculation of crystalline NpSi2Pd at its relaxed geometry, from Alexandria via LeMat-Bulk.

a = 3.9790 Å, b = 4.1815 Å, c = 4.1815 Å
α = 90.00°, β = 90.00°, γ = 90.00°
Sites, in units of the cell vectors:
Np1 0.5000 0.5000 0.5000
Si1 0.0000 0.0000 0.5000
Si2 0.0000 0.5000 0.0000
Pd1 0.5000 0.0000 0.0000

Results
SG: P4/mmm, No. 123
Energy relative to the elements, uncorrected (eV/atom): -0.172



(4)
The following is a GGA-PBE calculation of crystalline AsP2Au at its relaxed geometry, from Alexandria via LeMat-Bulk.

a = 5.6263 Å, b = 5.6263 Å, c = 6.8075 Å
α = 65.59°, β = 65.59°, γ = 90.00°
Sites, in units of the cell vectors:
P1 0.6221 0.1250 0.2500
P2 0.1279 0.6250 0.2500
P3 0.3750 0.3779 0.7500
P4 0.8750 0.8721 0.7500
As1 0.5000 0.5000 0.0000
As2 0.2500 0.7500 0.5000
Au1 0.0000 0.0000 0.0000
Au2 0.7500 0.2500 0.5000

Results
SG: I-42d, No. 122



(5)
The following is a GGA-PBE calculation of crystalline YReHg at its relaxed geometry, from Alexandria via LeMat-Bulk.

a = 4.7411 Å, b = 4.7411 Å, c = 4.7411 Å
α = 60.00°, β = 60.00°, γ = 60.00°
Sites, in units of the cell vectors:
Hg1 0.5000 0.5000 0.5000
Re1 0.7500 0.7500 0.7500
Y1 0.0000 0.0000 0.0000

Results
SG: F-43m, No. 216



(6)
The following is a GGA-PBE calculation of crystalline Nd6AlPb at its relaxed geometry, from Alexandria via LeMat-Bulk.

a = 4.9530 Å, b = 4.9530 Å, c = 9.9025 Å
α = 90.00°, β = 90.00°, γ = 90.00°
Sites, in units of the cell vectors:
Nd1 0.5000 0.5000 0.0000
Nd2 0.5000 0.5000 0.5000
Nd3 0.5000 0.0000 0.2569
Nd4 0.5000 0.0000 0.7431
Nd5 0.0000 0.5000 0.2569
Nd6 0.0000 0.5000 0.7431
Al1 0.0000 0.0000 0.5000
Pb1 0.0000 0.0000 0.0000

Results
SG: P4/mmm, No. 123



(7)
The following is a GGA-PBE calculation of crystalline Ba2Ga5Au3 at its relaxed geometry, from Alexandria via LeMat-Bulk.

a = 6.5620 Å, b = 9.1268 Å, c = 9.1268 Å
α = 73.06°, β = 68.93°, γ = 68.93°
Sites, in units of the cell vectors:
Ba1 0.1254 0.6201 0.1292
Ba2 0.6254 0.1292 0.6201
Ba3 0.8746 0.3799 0.8708
Ba4 0.3746 0.8708 0.3799
Ga1 0.3764 0.2553 0.9920
Ga2 0.8764 0.9920 0.2553
Ga3 0.6236 0.7447 0.0080
Ga4 0.1236 0.0080 0.7447
Ga5 0.4946 0.7554 0.7554
Ga6 0.5054 0.2446 0.2446
Ga7 0.7500 0.5000 0.5000
Ga8 0.2500 0.5000 0.5000
Ga9 0.0054 0.2446 0.2446
Ga10 0.9946 0.7554 0.7554
Au1 0.3728 0.5054 0.7490
Au2 0.8728 0.7490 0.5054
Au3 0.6272 0.4946 0.2510
Au4 0.1272 0.2510 0.4946
Au5 0.2500 0.0000 0.0000
Au6 0.7500 0.0000 0.0000

Results
SG: Ibam, No. 72



(8)
The following is a GGA-PBE calculation of crystalline Pd2Pb2S at its relaxed geometry, from Alexandria via LeMat-Bulk.

a = 7.2172 Å, b = 7.2172 Å, c = 4.0588 Å
α = 90.00°, β = 90.00°, γ = 90.00°
Sites, in units of the cell vectors:
Pb1 0.1652 0.6652 0.5000
Pb2 0.6652 0.8348 0.5000
Pb3 0.8348 0.3348 0.5000
Pb4 0.3348 0.1652 0.5000
S1 0.0000 0.0000 0.0000
S2 0.5000 0.5000 0.0000
Pd1 0.3609 0.8609 0.0000
Pd2 0.8609 0.6391 0.0000
Pd3 0.6391 0.1391 0.0000
Pd4 0.1391 0.3609 0.0000

Results
SG: P4/mbm, No. 127
Energy relative to the elements, uncorrected (eV/atom): -0.153



For the records above, the corresponding total energy values read -27.87; -14.23; -29.67; -36.39; -16.71; -38.12; -68.68; -45.39 eV for the cell shown.
For the records above, the corresponding Fermi-level density of states values read 2.370; 1.358; 2.218; 0.094; 1.972; 1.394; 0.468; 0.342 states/eV/atom.